Record 1
Zn2AgWO6 | GGA+U | relaxed

Unit cell a=5.312 b=5.230 c=9.938 alpha=90.00 beta=119.42 gamma=90.00
Sites, in units of the cell vectors:
Zn  0.212  0.012  0.237
Zn  0.212  0.488  0.737
Zn  0.788  0.512  0.263
Zn  0.788  0.988  0.763
Ag  0.000  0.000  0.500
Ag  0.000  0.500  0.000
W  0.500  0.000  0.000
W  0.500  0.500  0.500
O  0.174  0.133  0.803
O  0.174  0.367  0.303
O  0.232  0.656  0.556
O  0.232  0.844  0.056
O  0.472  0.193  0.601
O  0.472  0.307  0.101
O  0.528  0.693  0.899
O  0.528  0.807  0.399
O  0.768  0.156  0.944
O  0.768  0.344  0.444
O  0.826  0.633  0.697
O  0.826  0.867  0.197

Symmetry: P2_1/c (14)
Mass density, g/cm3: 7.2
Calculated total energy, eV per cell: -110.55
Excess energy over the best structure of this formula in the dataset, meV/atom: 25.1


Record 2
ZrAgWO6 | GGA+U | relaxed

Unit cell a=5.439 b=5.439 c=9.500 alpha=90.00 beta=90.00 gamma=120.00
Sites, in units of the cell vectors:
Zr  0.333  0.667  0.250
Zr  0.667  0.333  0.750
Ag  0.000  0.000  0.000
Ag  0.000  0.000  0.500
W  0.333  0.667  0.750
W  0.667  0.333  0.250
O  0.022  0.376  0.638
O  0.022  0.646  0.862
O  0.354  0.376  0.862
O  0.354  0.978  0.638
O  0.376  0.022  0.138
O  0.376  0.354  0.362
O  0.624  0.646  0.638
O  0.624  0.978  0.862
O  0.646  0.022  0.362
O  0.646  0.624  0.138
O  0.978  0.354  0.138
O  0.978  0.624  0.362

Symmetry: P-31c (163)
Mass density, g/cm3: 6.5
Calculated total energy, eV per cell: -130.77